Record 1
Tl2InIr, relaxed, DFT PBEsol; space-group type = P4/mmm (123); energy relative to the elements = 553 meV/atom; excess energy over the best structure of this formula in the dataset = 449 meV/atom; N(E_F) = 2.5 states/eV per cell
1.0
4.989 0.000 0.000
0.000 4.989 0.000
0.000 0.000 3.396
Tl In Ir
2 1 1
Direct
0.000 0.500 0.000
0.500 0.000 0.000
0.000 0.000 0.500
0.500 0.500 0.500

---

Record 2
La2PbW, relaxed, DFT PBEsol; space-group type = Pmmm (47); energy relative to the elements = 251 meV/atom; N(E_F) = 4.2 states/eV per cell
1.0
3.151 0.000 0.000
0.000 3.584 0.000
0.000 0.000 9.375
La Pb W
2 1 1
Direct
0.000 0.000 0.213
0.000 0.000 0.787
0.500 0.500 0.500
0.500 0.500 0.000

---

Record 3
FeB2W2, relaxed, DFT PBEsol; space-group type = Immm (71); energy relative to the elements = -505 meV/atom; N(E_F) = 2.7 states/eV per cell
1.0
-1.572 2.273 3.539
1.572 -2.273 3.539
1.572 2.273 -3.539
Fe B W
1 2 2
Direct
0.000 0.000 0.000
0.293 0.500 0.793
0.707 0.500 0.207
0.297 0.797 0.500
0.703 0.203 0.500

---

Record 4
Be2AgRhW, relaxed, DFT PBEsol; space-group type = P4/mmm (123); energy relative to the elements = 1541 meV/atom; N(E_F) = 4.1 states/eV per cell
1.0
4.026 0.000 0.000
0.000 4.026 0.000
0.000 0.000 4.912
Be Ag Rh W
2 1 1 1
Direct
0.000 0.500 0.000
0.500 0.000 0.000
0.000 0.000 0.000
0.500 0.500 0.500
0.000 0.000 0.500